Computed, not measured: a geometry-optimized NaTmGa4O8 structure at the PBE level of DFT.

## Properties
Raw total energy   -6.171 eV/atom

Cell: 6.173 6.173 6.173 Å, 59.11 59.11 59.11°
Fractional coordinates of all 14 atoms:
Na  0.000  0.000  0.000
Tm  0.618  0.618  0.618
Ga  0.386  0.386  0.386
Ga  0.506  0.996  0.996
Ga  0.996  0.506  0.996
Ga  0.996  0.996  0.506
O  0.205  0.747  0.747
O  0.249  0.249  0.249
O  0.257  0.257  0.770
O  0.257  0.770  0.257
O  0.747  0.205  0.747
O  0.747  0.747  0.205
O  0.759  0.759  0.759
O  0.770  0.257  0.257


Computed, not measured: a geometry-optimized AcY3S structure at the PBE level of DFT.

## Properties
Raw total energy   -6.191 eV/atom

Cell: 5.405 5.405 5.405 Å, 90.00 90.00 90.00°
Fractional coordinates of all 5 atoms:
Ac  0.000  0.000  0.000
Y  0.000  0.500  0.500
Y  0.500  0.000  0.500
Y  0.500  0.500  0.000
S  0.500  0.500  0.500


Computed, not measured: a geometry-optimized Zr2HgTeAs structure at the PBE level of DFT.

## Properties
Offset from the most stable computed form   107 meV/atom

Cell: 5.365 5.365 5.288 Å, 90.00 90.00 90.00°
Fractional coordinates of all 5 atoms:
Zr  0.000  0.500  0.000
Zr  0.500  0.000  0.000
Hg  0.000  0.000  0.500
Te  0.000  0.000  0.000
As  0.500  0.500  0.500


Computed, not measured: a geometry-optimized Sm2P3IrRh4 structure at the PBE level of DFT.

## Properties
Calculated formation energy   -0.866 eV per atom

Cell: 4.098 4.098 10.093 Å, 90.00 90.00 90.00°
Fractional coordinates of all 10 atoms:
Sm  0.000  0.500  0.247
Sm  0.500  0.000  0.753
P  0.000  0.000  0.000
P  0.000  0.500  0.630
P  0.500  0.000  0.370
Ir  0.500  0.500  0.000
Rh  0.000  0.000  0.500
Rh  0.000  0.500  0.854
Rh  0.500  0.000  0.146
Rh  0.500  0.500  0.500


The records above yield size of the total moment values of 0.00 0.00 1.21 0.00 Bohr magnetons per cell, respectively.